HoErPO after structural relaxation, computed with PBE.

It has space group Pmc2_1 (No. 26), with a = 4.121 Å, b = 7.433 Å, c = 5.644 Å, α = 90.00°, β = 90.00° and γ = 90.00°. The asymmetric unit holds Ho at (0.000, 0.205, 0.000), Er at (0.500, 0.378, 0.558), P at (0.000, 0.160, 0.494) and O at (0.500, 0.329, 0.946).

---

TePtNO after structural relaxation, computed with PBE.

It has space group P4/nmm (No. 129, origin choice 2), with a = 4.188 Å, b = 4.188 Å, c = 6.632 Å, α = 90.00°, β = 90.00° and γ = 90.00°. The asymmetric unit holds Te at (0.250, 0.250, 0.174), Pt at (0.250, 0.750, 0.500), N at (0.250, 0.250, 0.573) and O at (0.250, 0.750, 0.000).

---

TbTm2Al3Si2Pt after structural relaxation, computed with PBE.

It has space group Amm2 (No. 38), with a = 4.206 Å, b = 11.908 Å, c = 6.866 Å, α = 90.00°, β = 90.00° and γ = 90.00°. The asymmetric unit holds Tb at (0.000, 0.000, 0.000), Tm at (0.000, 0.209, 0.626), Al at (0.500, 0.000, 0.656), Al at (0.500, 0.119, 0.300), Si at (0.500, 0.169, 0.918) and Pt at (0.000, 0.000, 0.423).

---

CdHgAs2 after structural relaxation, computed with PBE.

It has space group F-43m (No. 216), with a = 7.039 Å, b = 7.039 Å, c = 7.039 Å, α = 90.00°, β = 90.00° and γ = 90.00°. The asymmetric unit holds Cd at (0.000, 0.000, 0.000), Hg at (0.250, 0.250, 0.750), As at (0.000, 0.000, 0.500) and As at (0.250, 0.250, 0.250).

---

Ta3Co after structural relaxation, computed with PBE.

It has space group P6_3/mmc (No. 194), with a = 5.6066 Å, b = 5.6066 Å, c = 4.8389 Å, α = 90.00°, β = 90.00° and γ = 120.00°. The asymmetric unit holds Ta at (0.1701, 0.3402, 0.2500) and Co at (0.3333, 0.6667, 0.7500).

The calculation puts the formation energy at 0.19 eV/atom.

---

ErSi2 after structural relaxation, computed with PBE.

It has space group Fd-3m (No. 227, origin choice 2), with a = 13.233 Å, b = 13.233 Å, c = 13.233 Å, α = 90.00°, β = 90.00° and γ = 90.00°. The asymmetric unit holds Er at (0.125, 0.125, 0.125) and Si at (0.000, 0.000, 0.000).

---

Dy2ScIn3PtAu2 after structural relaxation, computed with PBE.

It has space group Amm2 (No. 38), with a = 3.885 Å, b = 13.265 Å, c = 7.690 Å, α = 90.00°, β = 90.00° and γ = 90.00°. The asymmetric unit holds Dy at (0.000, 0.200, 0.000), Sc at (0.000, 0.000, 0.402), In at (0.500, 0.000, 0.060), In at (0.500, 0.128, 0.667), Pt at (0.000, 0.000, 0.796) and Au at (0.500, 0.163, 0.301).

---

SrIn2PdAu after structural relaxation, computed with PBE.

It has space group P4/nmm (No. 129, origin choice 2), with a = 4.746 Å, b = 4.746 Å, c = 11.035 Å, α = 90.00°, β = 90.00° and γ = 90.00°. The asymmetric unit holds Sr at (0.250, 0.250, 0.237), In at (0.250, 0.250, 0.887), In at (0.250, 0.750, 0.500), Pd at (0.250, 0.750, 0.000) and Au at (0.250, 0.250, 0.641).

---

Calculated V (A^3/atom), listed in the same order as above: 21.607 14.538 19.104 21.798 16.466 96.562 22.013 24.857
Calculated final energy (eV/atom), listed in the same order as above: -6.90 -5.01 -5.51 -2.31 -10.48 -3.33 -4.83 -3.70